(1)
# Cs2AsI2Br4

A geometry-optimized Cs2AsI2Br4 structure (PBE-GGA, the Alexandria database).

Summary:
Formation energy (no corrections) in meV/atom: -918.2
DOS at the Fermi energy in states/eV per atom: 0.92
Crystal system: tetragonal
Space group: I4/mmm (139)

Cell and atoms, written as POSCAR:
```
Cs2AsI2Br4
1.0
7.855 0.128 0.185
-3.658 6.952 -0.185
-3.658 -2.615 6.444
Br I As Cs
4 2 1 2
direct
0.000 0.225 0.775
0.000 0.775 0.225
0.549 0.775 0.775
0.451 0.225 0.225
0.000 0.266 0.266
0.000 0.734 0.734
0.000 0.000 0.000
0.500 0.750 0.250
0.500 0.250 0.750
```

(2)
# Dy2ThF

A geometry-optimized Dy2ThF structure (PBE-GGA, the Alexandria database).

Summary:
Formation energy (no corrections) in meV/atom: -1152.5
DOS at the Fermi energy in states/eV per atom: 0.90
Crystal system: trigonal
Space group: R-3m (166)

Cell and atoms, written as POSCAR:
```
Dy2ThF
1.0
-2.074 1.744 2.394
-2.599 -1.780 1.775
4.051 -1.949 7.658
F Dy Th
1 2 1
direct
0.000 0.000 0.000
0.272 0.272 0.183
0.728 0.728 0.817
0.500 0.500 0.500
```

(3)
# TbPrNd2

A geometry-optimized TbPrNd2 structure (PBE-GGA, the Alexandria database).

Summary:
ΔE to the lowest computed polymorph in eV per atom: 0.097
DOS at the Fermi energy in states/eV per atom: 2.30
Crystal system: tetragonal
Space group: P4/mmm (123)
ΔE_f in eV per atom: 0.111

Cell and atoms, written as POSCAR:
```
TbPrNd2
1.0
-1.492 2.530 -3.157
-3.299 1.188 2.510
4.049 5.676 2.636
Tb Pr Nd
1 1 2
direct
0.500 0.500 0.000
0.500 0.500 0.500
0.000 0.000 0.756
0.000 0.000 0.244
```

(4)
# TbPr3Sm4Se8

A geometry-optimized TbPr3Sm4Se8 structure (PBE-GGA, the Alexandria database).

Summary:
Formation energy (no corrections) in meV/atom: -1813.8
DOS at the Fermi energy in states/eV per atom: 0.67
Crystal system: trigonal
Space group: R-3m (166)

Cell and atoms, written as POSCAR:
```
TbPr3Sm4Se8
1.0
8.406 0.000 0.000
0.000 8.396 -0.007
-4.203 -4.195 5.944
Se Pr Sm Tb
8 3 4 1
direct
0.753 0.247 0.505
0.758 0.753 0.006
0.247 0.753 0.495
0.242 0.247 0.994
0.247 0.241 0.494
0.753 0.759 0.506
0.753 0.247 0.994
0.247 0.753 0.006
0.500 0.500 0.500
0.500 0.500 0.000
0.000 0.500 0.500
0.000 0.000 0.500
0.000 0.000 0.000
0.500 0.000 0.500
0.500 0.000 0.000
0.000 0.500 0.000
```

(5)
# Cs3TeF

A geometry-optimized Cs3TeF structure (PBE-GGA, the Alexandria database).

Summary:
Formation energy (no corrections) in meV/atom: -1143.0
ΔE to the lowest computed polymorph in eV per atom: 0.541
DOS at the Fermi energy in states/eV per atom: 0.00
Crystal system: tetragonal
Space group: I-4m2 (119)

Cell and atoms, written as POSCAR:
```
Cs3TeF
1.0
-4.061 -5.488 1.844
3.686 -0.714 5.992
-8.408 5.006 9.940
Cs Te F
6 2 2
direct
0.298 0.298 0.403
0.116 0.362 0.767
0.130 0.884 0.233
0.116 0.870 0.767
0.638 0.884 0.233
0.702 0.702 0.597
0.000 0.000 0.000
0.250 0.750 0.500
0.843 0.343 0.314
0.657 0.157 0.686
```

(6)
# Ti2ZnWN

A geometry-optimized Ti2ZnWN structure (PBE-GGA, the Alexandria database).

Summary:
Formation energy (no corrections) in meV/atom: 843.3
DOS at the Fermi energy in states/eV per atom: 1.58
Crystal system: tetragonal
Space group: P4/mmm (123)

Cell and atoms, written as POSCAR:
```
Ti2ZnWN
1.0
-3.347 -2.329 -2.787
2.789 -2.315 -1.415
-0.811 -3.215 3.661
Zn N Ti W
1 1 2 1
direct
0.500 0.500 0.500
0.000 0.500 0.000
0.000 0.000 0.500
0.500 0.000 0.000
0.000 0.000 0.000
```

(7)
# TePI2N

A geometry-optimized TePI2N structure (PBE-GGA, the Alexandria database).

Summary:
Formation energy (no corrections) in meV/atom: 1219.2
ΔE to the lowest computed polymorph in eV per atom: 0.578
DOS at the Fermi energy in states/eV per atom: 0.86
Crystal system: tetragonal
Space group: P4/mmm (123)

Cell and atoms, written as POSCAR:
```
TePI2N
1.0
6.242 0.000 0.000
0.000 6.242 0.000
0.000 0.000 3.988
I Te N P
2 1 1 1
direct
0.500 0.000 0.000
0.000 0.500 0.000
0.000 0.000 0.000
0.000 0.000 0.500
0.500 0.500 0.500
```

(8)
# BeGeF2

A geometry-optimized BeGeF2 structure (PBE-GGA, the Alexandria database).

Summary:
Formation energy (no corrections) in meV/atom: -545.1
ΔE to the lowest computed polymorph in eV per atom: 1.480
DOS at the Fermi energy in states/eV per atom: 0.01
Crystal system: cubic
Space group: Fm-3m (225)

Cell and atoms, written as POSCAR:
```
BeGeF2
1.0
2.239 -3.145 1.645
-1.931 -3.069 2.112
-0.256 -3.848 -1.655
F Be Ge
2 1 1
direct
0.750 0.750 0.750
0.250 0.250 0.250
0.000 0.000 0.000
0.500 0.500 0.500
```

(9)
# MnCoH2

A geometry-optimized MnCoH2 structure (PBE-GGA, the Alexandria database).

Summary:
ΔE to the lowest computed polymorph in eV per atom: 0.172
DOS at the Fermi energy in states/eV per atom: 0.73
Crystal system: trigonal
Space group: R-3m (166)

Cell and atoms, written as POSCAR:
```
MnCoH2
1.0
2.723 0.000 0.000
1.362 2.358 0.000
1.362 0.786 4.692
Mn H Co
1 2 1
direct
0.000 0.000 0.000
0.878 0.878 0.367
0.122 0.122 0.633
0.500 0.500 0.500
```

(10)
# KCdAg2

A geometry-optimized KCdAg2 structure (PBE-GGA, the Alexandria database).

Summary:
ΔE to the lowest computed polymorph in eV per atom: 0.024
DOS at the Fermi energy in states/eV per atom: 0.27
Crystal system: monoclinic
Space group: P2_1/m (11)
ΔE_f in eV per atom: -0.013

Cell and atoms, written as POSCAR:
```
KCdAg2
1.0
-4.445 -1.218 -1.658
1.895 -4.007 4.873
-3.453 5.084 5.524
K Ag Cd
2 4 2
direct
0.532 0.074 0.250
0.468 0.926 0.750
0.741 0.482 0.581
0.259 0.518 0.081
0.741 0.482 0.919
0.259 0.518 0.419
0.812 0.626 0.250
0.188 0.374 0.750
```

(11)
# ZnInGa

A geometry-optimized ZnInGa structure (PBE-GGA, the Alexandria database).

Summary:
DOS at the Fermi energy in states/eV per atom: 0.37
Crystal system: triclinic
Space group: P1 (1)
ΔE_f in eV per atom: 0.065

Cell and atoms, written as POSCAR:
```
ZnInGa
1.0
-0.344 0.695 2.944
-4.077 -5.515 0.827
5.730 -1.985 1.138
Zn In Ga
2 2 2
direct
0.337 0.845 0.017
0.837 0.698 0.288
0.340 0.332 0.011
0.336 0.512 0.595
0.838 0.960 0.712
0.835 0.118 0.356
```

(12)
# NpCdPb2

A geometry-optimized NpCdPb2 structure (PBE-GGA, the Alexandria database).

Summary:
ΔE to the lowest computed polymorph in eV per atom: 0.164
DOS at the Fermi energy in states/eV per atom: 2.22
Crystal system: tetragonal
Space group: P4/mmm (123)
ΔE_f in eV per atom: 0.259

Cell and atoms, written as POSCAR:
```
NpCdPb2
1.0
-1.688 2.252 2.649
1.755 -1.990 2.810
5.713 4.625 -0.293
Pb Cd Np
2 1 1
direct
0.000 0.000 0.731
0.000 0.000 0.269
0.500 0.500 0.500
0.500 0.500 0.000
```

(13)
# Tb7PmSc3

A geometry-optimized Tb7PmSc3 structure (PBE-GGA, the Alexandria database).

Summary:
ΔE to the lowest computed polymorph in eV per atom: 0.067
DOS at the Fermi energy in states/eV per atom: 1.64
Crystal system: trigonal
Space group: P3m1 (156)
ΔE_f in eV per atom: 0.222

Cell and atoms, written as POSCAR:
```
Tb7PmSc3
1.0
-2.504 -5.051 -6.043
5.576 -4.073 1.094
-5.946 -1.208 3.473
Sc Pm Tb
3 1 7
direct
0.784 0.998 0.499
0.784 0.501 0.499
0.784 0.501 0.002
0.447 0.333 0.667
0.103 0.665 0.832
0.103 0.168 0.832
0.118 0.667 0.333
0.463 0.335 0.168
0.463 0.832 0.665
0.103 0.168 0.335
0.463 0.832 0.168
```

(14)
# CaAcAs2Pt2

A geometry-optimized CaAcAs2Pt2 structure (PBE-GGA, the Alexandria database).

Summary:
DOS at the Fermi energy in states/eV per atom: 0.69
Crystal system: trigonal
Space group: P-3m1 (164)
ΔE_f in eV per atom: -1.150

Cell and atoms, written as POSCAR:
```
CaAcAs2Pt2
1.0
4.359 0.000 0.000
-2.179 3.775 0.000
0.000 0.000 8.438
Pt Ca As Ac
2 1 2 1
direct
0.333 0.667 0.738
0.667 0.333 0.262
0.000 0.000 0.500
0.333 0.667 0.257
0.667 0.333 0.743
0.000 0.000 0.000
```

(15)
# PmPr3HoEr

A geometry-optimized PmPr3HoEr structure (PBE-GGA, the Alexandria database).

Summary:
DOS at the Fermi energy in states/eV per atom: 1.35
Crystal system: monoclinic
Space group: P2_1/m (11)
ΔE_f in eV per atom: 0.020

Cell and atoms, written as POSCAR:
```
PmPr3HoEr
1.0
-2.711 -1.776 -1.664
1.711 -8.657 6.453
-7.241 6.671 4.677
Pr Ho Er Pm
6 2 2 2
direct
0.250 0.628 0.792
0.750 0.372 0.208
0.250 0.631 0.460
0.250 0.122 0.954
0.750 0.369 0.540
0.750 0.878 0.046
0.250 0.120 0.622
0.750 0.880 0.378
0.250 0.121 0.295
0.750 0.879 0.705
0.750 0.372 0.873
0.250 0.628 0.127
```

(16)
# AcPm4Tc

A geometry-optimized AcPm4Tc structure (PBE-GGA, the Alexandria database).

Summary:
DOS at the Fermi energy in states/eV per atom: 1.37
Crystal system: monoclinic
Space group: C2/c (15)
ΔE_f in eV per atom: 0.065

Cell and atoms, written as POSCAR:
```
AcPm4Tc
1.0
6.276 -0.216 -0.940
-1.622 7.543 -2.906
-0.191 0.849 8.199
Pm Tc Ac
8 2 2
direct
0.052 0.937 0.266
0.621 0.153 0.344
0.379 0.847 0.656
0.121 0.344 0.153
0.448 0.734 0.063
0.552 0.266 0.937
0.879 0.656 0.847
0.948 0.063 0.734
0.250 0.998 0.002
0.750 0.002 0.998
0.250 0.397 0.603
0.750 0.603 0.397
```

(17)
# Na2InH6Rh

A geometry-optimized Na2InH6Rh structure (PBE-GGA, the Alexandria database).

Summary:
Uncorrected energy in eV/atom: -3.45
DOS at the Fermi energy in states/eV per atom: 0.06
Crystal system: monoclinic
Space group: C2/m (12)

Cell and atoms, written as POSCAR:
```
Na2InH6Rh
1.0
5.445 0.000 -0.008
0.000 5.445 -0.008
2.717 2.717 3.821
H Na Rh In
6 2 1 1
direct
0.781 0.781 0.998
0.220 0.780 0.000
0.219 0.219 0.002
0.779 0.779 0.443
0.221 0.221 0.557
0.780 0.220 0.000
0.751 0.249 0.500
0.249 0.751 0.500
0.000 0.000 0.000
0.500 0.500 0.000
```

(18)
# Ac4Tl2TeAs

A geometry-optimized Ac4Tl2TeAs structure (PBE-GGA, the Alexandria database).

Summary:
Formation energy (no corrections) in meV/atom: -864.6
DOS at the Fermi energy in states/eV per atom: 0.55
Crystal system: monoclinic
Space group: P2/m (10)

Cell and atoms, written as POSCAR:
```
Ac4Tl2TeAs
1.0
4.506 0.000 0.000
0.000 7.870 0.160
0.000 -2.744 8.455
Ac Te As Tl
4 1 1 2
direct
0.000 0.241 0.764
0.500 0.772 0.775
0.000 0.759 0.236
0.500 0.228 0.225
0.500 0.500 0.000
0.000 0.000 0.000
0.500 0.000 0.500
0.000 0.500 0.500
```

(19)
# Ru

A geometry-optimized Ru structure (PBE-GGA, the Alexandria database).

Summary:
ΔE to the lowest computed polymorph in eV per atom: 0.109
DOS at the Fermi energy in states/eV per atom: 0.74
Crystal system: orthorhombic
Space group: Fmm2 (42)
ΔE_f in eV per atom: 0.109

Cell and atoms, written as POSCAR:
```
Ru
1.0
13.140 0.000 0.000
0.000 2.728 0.000
0.000 0.000 4.702
Ru
12
direct
0.161 0.000 0.142
0.161 0.500 0.642
0.000 0.500 0.967
0.339 0.000 0.642
0.500 0.500 0.467
0.000 0.000 0.467
0.839 0.000 0.142
0.839 0.500 0.642
0.500 0.000 0.967
0.339 0.500 0.142
0.661 0.500 0.142
0.661 0.000 0.642
```

(20)
# LiZrOs2

A geometry-optimized LiZrOs2 structure (PBE-GGA, the Alexandria database).

Summary:
DOS at the Fermi energy in states/eV per atom: 0.75
Crystal system: monoclinic
Space group: P2/m (10)
ΔE_f in eV per atom: 0.140

Cell and atoms, written as POSCAR:
```
LiZrOs2
1.0
-0.373 -2.307 -2.281
-1.180 -2.853 3.078
-5.333 -1.665 2.556
Os Zr Li
2 1 1
direct
0.500 0.500 0.000
0.000 0.000 0.000
0.500 0.500 0.500
0.000 0.000 0.500
```

(21)
# RuN2Cl4O

A geometry-optimized RuN2Cl4O structure (PBE-GGA, the Alexandria database).

Summary:
Formation energy (no corrections) in meV/atom: 424.0
DOS at the Fermi energy in states/eV per atom: 0.24
Crystal system: monoclinic
Space group: C2/m (12)

Cell and atoms, written as POSCAR:
```
RuN2Cl4O
1.0
3.711 7.655 -0.457
-3.711 7.655 -0.457
0.000 0.452 9.341
N Cl Ru O
4 8 2 2
direct
0.779 0.779 0.379
0.500 0.500 0.000
0.221 0.221 0.621
0.000 0.000 0.000
0.316 0.855 0.249
0.972 0.350 0.647
0.028 0.650 0.353
0.145 0.684 0.751
0.350 0.972 0.647
0.684 0.145 0.751
0.650 0.028 0.353
0.855 0.316 0.249
0.900 0.900 0.903
0.100 0.100 0.097
0.806 0.806 0.997
0.194 0.194 0.003
```

(22)
# Pm2Pr2DyHo2

A geometry-optimized Pm2Pr2DyHo2 structure (PBE-GGA, the Alexandria database).

Summary:
DOS at the Fermi energy in states/eV per atom: 2.22
Crystal system: trigonal
Space group: R-3m (166)
ΔE_f in eV per atom: 0.129

Cell and atoms, written as POSCAR:
```
Pm2Pr2DyHo2
1.0
5.750 0.000 0.000
2.875 4.980 0.000
2.875 1.660 8.236
Dy Ho Pr Pm
1 2 2 2
direct
0.000 0.000 0.000
0.572 0.572 0.283
0.428 0.428 0.717
0.138 0.138 0.585
0.862 0.862 0.415
0.284 0.284 0.147
0.716 0.716 0.853
```

(23)
# Cr2RhW

A geometry-optimized Cr2RhW structure (PBE-GGA, the Alexandria database).

Summary:
ΔE to the lowest computed polymorph in eV per atom: 0.101
DOS at the Fermi energy in states/eV per atom: 1.43
Crystal system: tetragonal
Space group: I-4m2 (119)
ΔE_f in eV per atom: 0.144

Cell and atoms, written as POSCAR:
```
Cr2RhW
1.0
4.722 0.009 0.000
1.715 4.399 0.000
-3.219 -2.204 2.661
Cr Rh W
2 1 1
direct
0.000 0.000 0.000
0.250 0.750 0.500
0.500 0.500 0.000
0.750 0.250 0.500
```

(24)
# La5ScHg6

A geometry-optimized La5ScHg6 structure (PBE-GGA, the Alexandria database).

Summary:
DOS at the Fermi energy in states/eV per atom: 1.10
Crystal system: monoclinic
Space group: C2/m (12)
ΔE_f in eV per atom: -0.471

Cell and atoms, written as POSCAR:
```
La5ScHg6
1.0
5.306 -0.342 0.873
-0.021 7.201 2.953
1.245 0.391 9.312
La Hg Sc
5 6 1
direct
0.678 0.177 0.645
0.339 0.339 0.322
0.661 0.661 0.678
0.322 0.823 0.355
0.000 0.500 0.000
0.844 0.616 0.311
0.844 0.073 0.311
0.156 0.927 0.689
0.500 0.214 0.000
0.156 0.384 0.689
0.500 0.786 0.000
0.000 0.000 0.000
```

(25)
# PrMgTlAu

A geometry-optimized PrMgTlAu structure (PBE-GGA, the Alexandria database).

Summary:
DOS at the Fermi energy in states/eV per atom: 0.50
Crystal system: cubic
Space group: F-43m (216)
ΔE_f in eV per atom: -0.494

Cell and atoms, written as POSCAR:
```
PrMgTlAu
1.0
-4.342 -2.779 -0.466
0.002 -4.356 -2.797
-0.401 -4.590 2.359
Au Pr Tl Mg
1 1 1 1
direct
0.000 0.000 0.000
0.250 0.250 0.250
0.500 0.500 0.500
0.750 0.750 0.750
```